First-principles (PBE) data for crystalline LuB at its relaxed geometry, as listed in the Open Quantum Materials Database.

```
LuB
1.0
3.8058 0.0000 0.0000
-1.9029 3.2960 0.0000
0.0000 0.0000 5.5452
Lu B
2 2
Direct
0.3333 0.6667 0.2500
0.6667 0.3333 0.7500
0.0000 0.0000 0.0000
0.0000 0.0000 0.5000
```

Volume = 17.39 A^3/atom
Total magnetization = 0.17 μB per cell
Energy above the lowest structure with this stoichiometry = 0.0000 eV per atom